1.
PBE NaSi3Sb, relaxed; V = 148.82 Å³/cell; total magnetization = 0.00 μB/cell; ΔE_f (raw) = 1.0631 eV per atom; E above lowest polymorph = 0 meV per atom
1.0
5.2993 0.0000 0.0000
0.0000 5.2993 0.0000
0.0000 0.0000 5.2993
Na Si Sb
1 3 1
Cartesian
0.0000 0.0000 0.0000
0.0000 2.6496 2.6496
2.6496 0.0000 2.6496
2.6496 2.6496 0.0000
2.6496 2.6496 2.6496



2.
PBE Na2SiSb4, relaxed; V = 451.28 Å³/cell; total magnetization = 0.00 μB/cell; ΔE_f (raw) = 0.2973 eV per atom
1.0
5.3003 0.0000 0.0000
0.0000 5.3003 0.0000
0.0000 0.0000 16.0639
Na Si Sb
4 2 8
Cartesian
0.0000 0.0000 2.2369
0.0000 0.0000 13.8270
2.6501 2.6501 5.7950
2.6501 2.6501 10.2688
0.0000 0.0000 8.0319
2.6501 2.6501 0.0000
0.0000 0.0000 5.4596
0.0000 0.0000 10.6043
0.0000 2.6501 0.0000
0.0000 2.6501 8.0319
2.6501 0.0000 0.0000
2.6501 0.0000 8.0319
2.6501 2.6501 2.5723
2.6501 2.6501 13.4916